[1]
ZrAl3H: PBEsol geometry, meta-GGA SCAN.

Geometry as extended XYZ:
```
5
Lattice="4.1007 0.0000 0.0000 0.0000 4.1007 0.0000 0.0000 0.0000 4.1007" Properties=species:S:1:pos:R:3 pbc="T T T"
Zr 0.0000 0.0000 0.0000
Al 0.0000 2.0504 2.0504
Al 2.0504 0.0000 2.0504
Al 2.0504 2.0504 0.0000
H 2.0504 2.0504 2.0504
```

Results
Space group = Pm-3m
Energy = -11.814 eV/atom

---

[2]
ZrAl2H2: PBEsol geometry, meta-GGA SCAN.

Geometry as extended XYZ:
```
10
Lattice="5.5366 0.0000 0.0000 0.0000 5.5366 0.0000 0.0000 0.0000 4.0002" Properties=species:S:1:pos:R:3 pbc="T T T"
Zr 0.0000 0.0000 0.0000
Zr 2.7683 2.7683 0.0000
Al 1.0275 1.7408 2.0001
Al 1.7408 4.5091 2.0001
Al 3.7958 1.0275 2.0001
Al 4.5091 3.7958 2.0001
H 0.9371 1.8312 0.0000
H 1.8312 4.5996 0.0000
H 3.7054 0.9371 0.0000
H 4.5996 3.7054 0.0000
```

Results
Space group = P4/mbm
Energy = -10.805 eV/atom

---

no.,V (Å³ per cell)
1,68.96
2,122.62